Here is PmSm2Pt after structural relaxation from the Alexandria database. Energies are from GGA-PBE.

The space group is R3m (No. 160, hexagonal axes) and the conventional cell measures 4.0051, 4.0051 and 27.6516 Å, with angles of 90.00, 90.00 and 120.00 degrees. The asymmetric unit holds Pm at (0.0000, 0.0000, 0.0000), Sm at (0.0000, 0.0000, 0.2290), Sm at (0.0000, 0.0000, 0.4408) and Pt at (0.0000, 0.0000, 0.8354).

The value obtained for the energy above the lowest structure with this stoichiometry is 167 meV per atom. As for the crystal system: trigonal. The value obtained for the formation energy is -0.4823 eV/atom.